Entry from Alexandria via LeMat-Bulk: CsLi5B2O6 after structural relaxation (PBE).

abc: 7.6470 7.6470 8.2063
angles: 57.96 57.96 77.56
Fractional coordinates of all 28 atoms:
Cs 0.6838 0.3162 0.7500
Cs 0.3162 0.6838 0.2500
Li 0.5324 0.2629 0.2309
Li 0.7061 0.0692 0.4607
Li 0.4676 0.7371 0.7691
Li 0.7371 0.4676 0.2691
Li 0.0000 0.0000 0.0000
Li 0.2939 0.9308 0.5393
Li 0.2629 0.5324 0.7309
Li 0.0692 0.7061 0.9607
Li 0.0000 0.0000 0.5000
Li 0.9308 0.2939 0.0393
B 0.8318 0.6870 0.8120
B 0.6870 0.8318 0.3120
B 0.1682 0.3130 0.1880
B 0.3130 0.1682 0.6880
O 0.1706 0.2709 0.7966
O 0.0439 0.7370 0.7155
O 0.9561 0.2630 0.2845
O 0.2709 0.1706 0.2966
O 0.7370 0.0439 0.2155
O 0.2630 0.9561 0.7845
O 0.5027 0.7330 0.5076
O 0.8294 0.7291 0.2034
O 0.7330 0.5027 0.0076
O 0.2670 0.4973 0.9924
O 0.4973 0.2670 0.4924
O 0.7291 0.8294 0.7034

## Properties
* formation energy (no corrections): -2.201 eV per atom
* space group: C2/c